Version a
## MnBe2Pt2 (PBE)

Data for a relaxed MnBe2Pt2 crystal.

Cell and atoms, written as POSCAR:
```
MnBe2Pt2
1.0
-1.5732 1.5732 6.2471
1.5732 -1.5732 6.2471
1.5732 1.5732 -6.2471
Mn Be Pt
1 2 2
Direct
0.0000 0.0000 0.0000
0.2500 0.7500 0.5000
0.7500 0.2500 0.5000
0.3877 0.3877 0.0000
0.6123 0.6123 0.0000
```

**Total moment**: 0.0 μB per formula unit
**Calculated density**: 12.43 Mg/m³
**Space-group type**: I4/mmm, No. 139

Version b
## MnBe2Pt2 (PBE)

Data for a relaxed MnBe2Pt2 crystal.

Cell and atoms, written as POSCAR:
```
MnBe2Pt2
1.0
6.5872 0.0000 0.0000
0.0000 6.5872 0.0000
0.0000 0.0000 2.6871
Mn Be Pt
2 4 4
Direct
0.0000 0.0000 0.0000
0.5000 0.5000 0.0000
0.1243 0.3757 0.0000
0.3757 0.8757 0.0000
0.6243 0.1243 0.0000
0.8757 0.6243 0.0000
0.1730 0.6730 0.5000
0.3270 0.1730 0.5000
0.6730 0.8270 0.5000
0.8270 0.3270 0.5000
```

**Total moment**: 0.0 μB per formula unit
**Calculated density**: 13.19 Mg/m³
**Space-group type**: P4/mbm, No. 127

Most stable: version b. Least stable: version a.